No. 1
The following is a PBE calculation of a relaxed Dy6Ga3H crystal, from Alexandria via LeMat-Bulk.

The value obtained for the total energy is -43.7 eV/f.u. Its space group is P2_1/c (14).

The structure in POSCAR format:
```
Dy6Ga3H
1.0
6.295 0.000 0.262
0.000 8.133 0.000
0.447 0.000 9.480
Dy H Ga
12 2 6
direct
0.640 0.162 0.942
0.612 0.192 0.559
0.645 0.455 0.272
0.145 0.045 0.772
0.360 0.838 0.058
0.388 0.808 0.441
0.112 0.308 0.059
0.888 0.692 0.941
0.140 0.338 0.442
0.855 0.955 0.228
0.860 0.662 0.558
0.355 0.545 0.728
0.000 0.000 0.000
0.500 0.500 0.500
0.426 0.122 0.257
0.500 0.500 0.000
0.574 0.878 0.743
0.000 0.000 0.500
0.074 0.622 0.243
0.926 0.378 0.757
```

---

No. 2
The following is a PBE calculation of a relaxed Dy2GaNi12H3 crystal, from Alexandria via LeMat-Bulk.

The value obtained for the total energy is -93.8 eV/f.u. Its space group is R-3m (166).

The structure in POSCAR format:
```
Dy2GaNi12H3
1.0
6.845 0.216 0.153
3.568 5.845 0.153
3.568 2.077 5.466
H Ni Dy Ga
3 12 2 1
direct
0.000 0.500 0.000
0.500 0.000 0.000
0.000 0.000 0.500
0.722 0.099 0.722
0.139 0.547 0.139
0.861 0.453 0.861
0.099 0.722 0.722
0.453 0.861 0.861
0.547 0.139 0.139
0.861 0.861 0.453
0.901 0.278 0.278
0.278 0.278 0.901
0.278 0.901 0.278
0.722 0.722 0.099
0.139 0.139 0.547
0.402 0.402 0.402
0.598 0.598 0.598
0.000 0.000 0.000
```

---

No. 3
The following is a PBE calculation of a relaxed DyGaNi2H crystal, from Alexandria via LeMat-Bulk.

The value obtained for the total energy is -25.3 eV/f.u. Its space group is Cmcm (63).

The structure in POSCAR format:
```
DyGaNi2H
1.0
-3.248 1.096 1.388
1.871 -4.286 2.835
3.336 4.350 4.374
Dy Ga H Ni
2 2 2 4
direct
0.441 0.883 0.750
0.559 0.117 0.250
0.276 0.553 0.250
0.724 0.447 0.750
0.000 0.000 0.000
0.000 0.000 0.500
0.843 0.687 0.056
0.843 0.687 0.444
0.157 0.313 0.944
0.157 0.313 0.556
```

---

No. 4
The following is a PBE calculation of a relaxed DyGaH2O4 crystal, from Alexandria via LeMat-Bulk.

The value obtained for the total energy is -49.7 eV/f.u. Its space group is I222 (23).

The structure in POSCAR format:
```
DyGaH2O4
1.0
-2.364 -2.715 -2.810
2.052 -3.778 -1.786
-2.167 -3.741 1.728
Ga O H Dy
1 4 2 1
direct
0.500 0.500 0.500
0.592 0.555 0.830
0.022 0.830 0.555
0.978 0.445 0.170
0.408 0.170 0.445
0.814 0.686 0.686
0.186 0.314 0.314
0.000 0.000 0.000
```

---

No. 5
The following is a PBE calculation of a relaxed DyGa2HRu2 crystal, from Alexandria via LeMat-Bulk.

The value obtained for the total energy is -35.1 eV/f.u. Its space group is P4/mmm (123).

The structure in POSCAR format:
```
DyGa2HRu2
1.0
4.127 0.000 0.000
0.000 4.127 0.000
0.000 0.000 5.283
Ru Ga Dy H
2 2 1 1
direct
0.000 0.500 0.000
0.500 0.000 0.000
0.500 0.500 0.730
0.500 0.500 0.270
0.000 0.000 0.500
0.000 0.000 0.000
```

---

No. 6
The following is a PBE calculation of a relaxed Dy2HfGa crystal, from Alexandria via LeMat-Bulk.

The value obtained for the energy above the lowest structure with this stoichiometry is 18 kJ/mol of formula units. The formation energy from the elements comes out at -0.152 eV per atom. Its space group is P4/mmm (123).

The structure in POSCAR format:
```
Dy2HfGa
1.0
-2.010 -4.039 0.755
0.907 -1.252 -4.281
3.986 -1.731 1.351
Dy Hf Ga
2 1 1
direct
0.000 0.000 0.500
0.000 0.500 0.000
0.500 0.000 0.000
0.500 0.500 0.500
```

---

No. 7
The following is a PBE calculation of a relaxed Dy3Hf5Ga12 crystal, from Alexandria via LeMat-Bulk.

The formation energy from the elements comes out at 0.370 eV per atom. Its space group is Ia-3d (230).

The structure in POSCAR format:
```
Dy3Hf5Ga12
1.0
-11.961 -6.854 1.950
5.059 -2.993 -12.621
9.194 -3.853 9.719
Dy Ga Hf
12 48 20
direct
0.250 0.625 0.875
0.875 0.750 0.125
0.375 0.750 0.625
0.125 0.875 0.750
0.750 0.875 0.625
0.375 0.625 0.250
0.625 0.250 0.375
0.125 0.250 0.875
0.875 0.125 0.250
0.750 0.375 0.125
0.250 0.125 0.375
0.625 0.375 0.750
0.724 0.143 0.066
0.857 0.581 0.922
0.934 0.578 0.158
0.422 0.357 0.581
0.643 0.578 0.919
0.578 0.643 0.419
0.419 0.276 0.342
0.342 0.776 0.419
0.658 0.224 0.581
0.078 0.158 0.434
0.643 0.066 0.224
0.919 0.078 0.643
0.422 0.066 0.342
0.066 0.643 0.724
0.566 0.224 0.143
0.934 0.357 0.276
0.776 0.342 0.919
0.922 0.081 0.857
0.842 0.919 0.276
0.078 0.919 0.143
0.434 0.776 0.857
0.658 0.434 0.578
0.158 0.081 0.724
0.357 0.934 0.776
0.434 0.658 0.078
0.224 0.658 0.081
0.578 0.934 0.658
0.857 0.276 0.434
0.922 0.842 0.566
0.776 0.434 0.357
0.342 0.566 0.422
0.419 0.143 0.578
0.081 0.922 0.357
0.066 0.422 0.842
0.919 0.842 0.776
0.143 0.724 0.566
0.276 0.857 0.934
0.566 0.342 0.922
0.276 0.419 0.842
0.581 0.724 0.658
0.224 0.566 0.643
0.081 0.158 0.224
0.357 0.422 0.081
0.581 0.857 0.422
0.724 0.581 0.158
0.158 0.078 0.934
0.842 0.922 0.066
0.143 0.419 0.078
0.375 0.125 0.750
0.875 0.625 0.750
0.125 0.375 0.250
0.000 0.000 0.500
0.250 0.875 0.125
0.750 0.125 0.875
0.500 0.500 0.500
0.000 0.000 0.000
0.875 0.250 0.625
0.125 0.750 0.375
0.000 0.500 0.500
0.750 0.625 0.375
0.375 0.250 0.125
0.500 0.500 0.000
0.000 0.500 0.000
0.500 0.000 0.000
0.625 0.750 0.875
0.500 0.000 0.500
0.250 0.375 0.625
0.625 0.875 0.250
```

---

No. 8
The following is a PBE calculation of a relaxed DyHfGa crystal, from Alexandria via LeMat-Bulk.

The value obtained for the energy above the lowest structure with this stoichiometry is 0 kJ/mol of formula units. The formation energy from the elements comes out at -0.394 eV per atom. Its space group is I4/mmm (139).

The structure in POSCAR format:
```
DyHfGa
1.0
0.169 3.430 -2.471
2.197 -2.182 -2.883
-7.902 -2.797 -0.796
Ga Dy Hf
2 2 2
direct
0.872 0.872 0.745
0.128 0.128 0.255
0.324 0.324 0.648
0.676 0.676 0.352
0.500 0.000 0.000
0.000 0.500 0.000
```

---

No. 9
The following is a PBE calculation of a relaxed DyHfGa crystal, from Alexandria via LeMat-Bulk.

The value obtained for the energy above the lowest structure with this stoichiometry is 39 kJ/mol of formula units. The formation energy from the elements comes out at -0.259 eV per atom. Its space group is I4mm (107).

The structure in POSCAR format:
```
DyHfGa
1.0
3.321 0.000 0.000
0.000 3.321 0.000
-1.660 -1.660 6.181
Dy Hf Ga
1 1 1
direct
0.008 0.008 0.015
0.318 0.318 0.636
0.674 0.674 0.349
```

---

No. 10
The following is a PBE calculation of a relaxed DyHfGa6 crystal, from Alexandria via LeMat-Bulk.

The formation energy from the elements comes out at -0.453 eV per atom. Its space group is P4/mmm (123).

The structure in POSCAR format:
```
DyHfGa6
1.0
4.202 0.000 0.000
0.000 4.202 0.000
0.000 0.000 8.339
Hf Ga Dy
1 6 1
direct
0.000 0.000 0.500
0.000 0.500 0.741
0.500 0.500 0.000
0.500 0.000 0.741
0.500 0.000 0.259
0.000 0.500 0.259
0.500 0.500 0.500
0.000 0.000 0.000
```

---

No. 11
The following is a PBE calculation of a relaxed DyHf2Ga crystal, from Alexandria via LeMat-Bulk.

The value obtained for the energy above the lowest structure with this stoichiometry is 0 kJ/mol of formula units. The formation energy from the elements comes out at -0.147 eV per atom. Its space group is P4/mmm (123).

The structure in POSCAR format:
```
DyHf2Ga
1.0
4.432 0.000 0.000
0.000 4.426 0.000
0.000 0.000 4.426
Ga Hf Dy
1 2 1
direct
0.500 0.500 0.500
0.000 0.000 0.500
0.000 0.500 0.000
0.500 0.000 0.000
```

---

No. 12
The following is a PBE calculation of a relaxed DyHf2Ga crystal, from Alexandria via LeMat-Bulk.

The value obtained for the energy above the lowest structure with this stoichiometry is 135 kJ/mol of formula units. The formation energy from the elements comes out at 0.203 eV per atom. Its space group is R-3m (166).

The structure in POSCAR format:
```
DyHf2Ga
1.0
-2.753 0.479 -1.389
-1.024 -2.001 -2.165
-6.223 -6.415 6.621
Hf Ga Dy
2 1 1
direct
0.096 0.096 0.711
0.904 0.904 0.289
0.500 0.500 0.500
0.000 0.000 0.000
```